## MgCo2Cl (PBE)

Data for crystalline MgCo2Cl at its relaxed geometry.

Properties
- total magnetic moment (μB per formula unit) = 2.807
- polymorph energy (0 for the lowest one) (meV per atom) = 609
- uncorrected energy (eV/cell) = -62.01
- raw formation energy (eV/f.u.) = 2.15

a b c (Å): 6.1886 6.1886 6.1886
angles (deg): 90.00 90.00 90.00
With the nearest neighbours (Å) after each atom.
Sites, in units of the cell vectors:
1 Mg 0.0000 0.0000 0.0000  4 Cl 2.68, 4 Co 2.68
2 Mg 0.0000 0.5000 0.5000  4 Cl 2.68, 4 Co 2.68
3 Mg 0.5000 0.0000 0.5000  4 Cl 2.68, 4 Co 2.68
4 Mg 0.5000 0.5000 0.0000  4 Cl 2.68, 4 Co 2.68
5 Co 0.0000 0.0000 0.5000  4 Cl 2.68, 4 Co 2.68
6 Co 0.0000 0.5000 0.0000  4 Cl 2.68, 4 Co 2.68
7 Co 0.2500 0.2500 0.7500  4 Co 2.68, 4 Mg 2.68
8 Co 0.2500 0.7500 0.2500  4 Co 2.68, 4 Mg 2.68
9 Co 0.5000 0.0000 0.0000  4 Cl 2.68, 4 Co 2.68
10 Co 0.5000 0.5000 0.5000  4 Cl 2.68, 4 Co 2.68
11 Co 0.7500 0.2500 0.2500  4 Co 2.68, 4 Mg 2.68
12 Co 0.7500 0.7500 0.7500  4 Co 2.68, 4 Mg 2.68
13 Cl 0.2500 0.2500 0.2500  4 Co 2.68, 4 Mg 2.68
14 Cl 0.2500 0.7500 0.7500  4 Co 2.68, 4 Mg 2.68
15 Cl 0.7500 0.2500 0.7500  4 Co 2.68, 4 Mg 2.68
16 Cl 0.7500 0.7500 0.2500  4 Co 2.68, 4 Mg 2.68